# 1
Crystalline PIrAuOF at its relaxed geometry, computed with PBE.

Properties
M_tot = 0.00 μB/atom
relative energy among the computed polymorphs = 0.00 eV/f.u.
E_tot = -5.8769 eV/atom
ΔE_f (raw) = -1001 meV per atom

Cell: 5.3487 5.3487 4.9546 Å, 98.28 98.28 31.13°
With the nearest neighbours (Å) after each atom.
Fractional coordinates of all 5 atoms:
P 0.0000 0.0000 0.0000  1 O 1.52, 1 F 1.60
Ir 0.6686 0.6686 0.0578  1 O 2.17, 2 P 2.24
Au 0.1795 0.1795 0.5551  3 F 2.74-2.94, 4 Ir 2.84-2.89, 2 Au 2.87
O 0.8815 0.8815 0.1494  1 P 1.52
F 0.9303 0.9303 0.6880  1 P 1.60



# 2
Crystalline Ir2PdAuF at its relaxed geometry, computed with PBE.

Properties
M_tot = 0.52 μB/atom
E_tot = -4.4427 eV/atom
ΔE_f (raw) = 1170 meV per atom

Cell: 4.8957 4.8957 3.8527 Å, 90.00 90.00 90.00°
With the nearest neighbours (Å) after each atom.
Fractional coordinates of all 5 atoms:
Ir 0.0000 0.5000 0.0000  2 Pd 2.45
Ir 0.5000 0.0000 0.0000  2 Pd 2.45
Pd 0.0000 0.0000 0.0000  2 F 1.93
Au 0.5000 0.5000 0.5000  8 Ir 3.11, 4 F 3.46
F 0.0000 0.0000 0.5000  2 Pd 1.93



# 3
Crystalline Rb2IrAuF6 at its relaxed geometry, computed with PBE.

Properties
M_tot = 0.00 μB/atom
E_tot = -4.2504 eV/atom
ΔE_f (raw) = -1720 meV per atom

Cell: 6.3358 6.3358 6.3358 Å, 119.84 119.84 90.28°
With the nearest neighbours (Å) after each atom.
Fractional coordinates of all 10 atoms:
Rb 0.2500 0.7500 0.5000  12 F 3.17-3.18
Rb 0.7500 0.2500 0.5000  12 F 3.17-3.18
Ir 0.0000 0.0000 0.0000  6 F 2.05
Au 0.5000 0.5000 0.0000  6 F 2.42-2.44
F 0.2283 0.2283 0.4566  1 Ir 2.05
F 0.2283 0.7717 0.0000  1 Ir 2.05
F 0.2296 0.2296 0.0000  1 Ir 2.05
F 0.7704 0.7704 0.0000  1 Ir 2.05
F 0.7717 0.2283 0.0000  1 Ir 2.05
F 0.7717 0.7717 0.5434  1 Ir 2.05



# 4
Crystalline ReIrAu2F at its relaxed geometry, computed with PBE.

Properties
M_tot = 0.56 μB/atom
E_tot = -4.7969 eV/atom
ΔE_f (raw) = 1150 meV per atom

Cell: 4.6343 4.6343 3.9184 Å, 90.00 90.00 90.00°
With the nearest neighbours (Å) after each atom.
Fractional coordinates of all 5 atoms:
Re 0.0000 0.0000 0.0000  2 F 1.96
Ir 0.5000 0.5000 0.0000  8 Au 3.03, 4 Re 3.28
Au 0.0000 0.5000 0.5000  2 F 2.32
Au 0.5000 0.0000 0.5000  2 F 2.32
F 0.0000 0.0000 0.5000  2 Re 1.96



Which of these has the highest E_tot? Rb2IrAuF6



Look up the ΔE_f (raw) of the first one. -1001 meV per atom